(1)
Computed, not measured: crystalline Pu5Ru4Pb at its relaxed geometry at the PBE level of DFT.

Output
* total magnetic moment: 19.5 μB/cell
* electronic total energy: -112.79 eV/cell
* mass density: 14.65 g/cm³
* space-group type: P4/mmm (123)

abc: 3.251 3.251 19.641
angles: 90.00 90.00 90.00
Each line ends with the local moment (μB).
Element x y z (fractional)
Pb 0.000 0.000 0.000  -0.07
Ru 0.000 0.000 0.422  -0.18
Ru 0.000 0.000 0.773  -0.69
Pu 0.500 0.500 0.135  5.24
Pu 0.500 0.500 0.500  -0.21
Pu 0.500 0.500 0.865  5.24
Ru 0.000 0.000 0.227  -0.69
Pu 0.500 0.500 0.319  5.09
Pu 0.500 0.500 0.681  5.09
Ru 0.000 0.000 0.578  -0.18

(2)
Computed, not measured: crystalline TmLuTcRh at its relaxed geometry at the PBE level of DFT.

Output
* total magnetic moment: 0.0 μB/cell
* electronic total energy: -28.44 eV/cell
* mass density: 11.87 g/cm³
* space-group type: F-43m (216)

abc: 4.759 4.759 4.759
angles: 60.00 60.00 60.00
Element x y z (fractional)
Tm 0.750 0.750 0.750
Rh 0.000 0.000 0.000
Lu 0.250 0.250 0.250
Tc 0.500 0.500 0.500

(3)
Computed, not measured: crystalline CdBr3 at its relaxed geometry at the PBE level of DFT.

Output
* total magnetic moment: 1.0 μB/cell
* mass density: 5.60 g/cm³
* uncorrected formation energy: 0.03 eV/atom
* space-group type: Fm-3m (225)

abc: 5.285 5.285 5.285
angles: 60.00 60.00 60.00
Each line ends with the local moment (μB).
Element x y z (fractional)
Br 0.250 0.250 0.250  0.18
Br 0.000 0.000 0.000  0.45
Br 0.750 0.750 0.750  0.18
Cd 0.500 0.500 0.500  -0.02

(4)
Computed, not measured: crystalline NaSrZn2Ge2 at its relaxed geometry at the PBE level of DFT.

Output
* total magnetic moment: 0.0 μB/cell
* electronic total energy: -16.52 eV/cell
* mass density: 4.77 g/cm³
* space-group type: P-3m1 (164)

abc: 4.390 4.390 8.075
angles: 90.00 90.00 120.00
Element x y z (fractional)
Zn 0.333 0.667 0.710
Zn 0.667 0.333 0.290
Sr 0.000 0.000 0.000
Ge 0.667 0.333 0.735
Na 0.000 0.000 0.500
Ge 0.333 0.667 0.265

(5)
Computed, not measured: crystalline MnCrPdN at its relaxed geometry at the PBE level of DFT.

Output
* total magnetic moment: 0.0 μB/cell
* relative energy among the computed polymorphs: 175 meV per atom
* mass density: 7.34 g/cm³
* uncorrected formation energy: -0.07 eV/atom
* space-group type: Amm2 (38)

abc: 5.132 2.874 3.744
angles: 90.00 111.41 90.00
Each line ends with the local moment (μB).
Element x y z (fractional)
Cr 0.623 0.500 0.710  -2.25
Pd 0.912 0.000 0.355  -0.09
N 0.355 0.000 0.576  0.02
Mn 0.371 0.000 0.084  2.44

(6)
Computed, not measured: crystalline Zr2SiSb at its relaxed geometry at the PBE level of DFT.

Output
* total magnetic moment: 0.0 μB/cell
* relative energy among the computed polymorphs: 118 meV per atom
* mass density: 6.66 g/cm³
* uncorrected formation energy: -0.56 eV/atom
* space-group type: Pm (6)

abc: 4.238 3.821 5.463
angles: 69.53 90.00 90.00
Element x y z (fractional)
Zr 0.000 0.990 0.897
Sb 0.000 0.710 0.454
Zr 0.500 0.267 0.339
Si 0.500 0.534 0.810

What did the first record say?
Computed, not measured: crystalline Pu5Ru4Pb at its relaxed geometry at the PBE level of DFT.

Output
* total magnetic moment: 19.5 μB/cell
* electronic total energy: -112.79 eV/cell
* mass density: 14.65 g/cm³
* space-group type: P4/mmm (123)

abc: 3.251 3.251 19.641
angles: 90.00 90.00 90.00
Each line ends with the local moment (μB).
Element x y z (fractional)
Pb 0.000 0.000 0.000  -0.07
Ru 0.000 0.000 0.422  -0.18
Ru 0.000 0.000 0.773  -0.69
Pu 0.500 0.500 0.135  5.24
Pu 0.500 0.500 0.500  -0.21
Pu 0.500 0.500 0.865  5.24
Ru 0.000 0.000 0.227  -0.69
Pu 0.500 0.500 0.319  5.09
Pu 0.500 0.500 0.681  5.09
Ru 0.000 0.000 0.578  -0.18

Please write out number 5 again, unchanged.
Computed, not measured: crystalline MnCrPdN at its relaxed geometry at the PBE level of DFT.

Output
* total magnetic moment: 0.0 μB/cell
* relative energy among the computed polymorphs: 175 meV per atom
* mass density: 7.34 g/cm³
* uncorrected formation energy: -0.07 eV/atom
* space-group type: Amm2 (38)

abc: 5.132 2.874 3.744
angles: 90.00 111.41 90.00
Each line ends with the local moment (μB).
Element x y z (fractional)
Cr 0.623 0.500 0.710  -2.25
Pd 0.912 0.000 0.355  -0.09
N 0.355 0.000 0.576  0.02
Mn 0.371 0.000 0.084  2.44